A geometry-optimized K2HfZr2 structure, computed with PBE-GGA.

Computed properties:
M_tot = 0.00 μB/f.u.
Formation energy = 1.506 eV per atom

Cell and atoms, written as CIF:
```
data_K2HfZr2
_cell_length_a 9.972
_cell_length_b 9.972
_cell_length_c 2.955
_cell_angle_alpha 90.00
_cell_angle_beta 90.00
_cell_angle_gamma 90.00
_space_group_name_H-M_alt 'P 4/m b m'
_space_group_IT_number 127
_space_group_name_Hall '-P 4 2ab'
loop_
_atom_site_label
_atom_site_type_symbol
_atom_site_fract_x
_atom_site_fract_y
_atom_site_fract_z
_atom_site_occupancy
K1 K 0.117 0.383 0.000 1
Hf1 Hf 0.000 0.000 0.000 1
Zr1 Zr 0.187 0.687 0.500 1
```